(1)
Below is a relaxed structure of Hf2PRhI, with properties calculated at the PBE level.

Results
- Theoretical density: 8.867 Mg/m³
- Total magnetization: 0.0 μB/cell
- Formation energy without anion corrections: 0.56 eV/f.u.

Geometry as POSCAR:
```
Hf2PRhI
1.0
-4.7513 -1.9387 0.5947
1.5058 -2.3581 4.3427
-1.1398 3.4973 2.2943
I Rh Hf P
1 1 2 1
Cartesian
-2.1927 -0.3997 3.6159
0.0000 0.0000 0.0000
0.7529 -1.1791 2.1714
-2.3757 -0.9693 0.2974
-0.5699 1.7487 1.1471
```

(2)
Below is a relaxed structure of HfP2RuI, with properties calculated at the PBE level.

Results
- Theoretical density: 5.569 Mg/m³
- Total magnetization: 3.2 μB/cell
- Formation energy without anion corrections: 4.79 eV/f.u.

Geometry as POSCAR:
```
HfP2RuI
1.0
4.8933 0.0000 0.0000
0.0000 5.8330 0.0000
0.0000 0.0000 4.8933
I Ru Hf P
1 1 1 2
Cartesian
0.0000 2.9165 0.0000
2.4467 2.9165 2.4467
0.0000 0.0000 0.0000
0.0000 0.0000 2.4467
2.4467 0.0000 0.0000
```

(3)
Below is a relaxed structure of Hf2SbPI, with properties calculated at the PBE level.

Results
- Theoretical density: 7.268 Mg/m³
- Total magnetization: 0.0 μB/cell
- Formation energy without anion corrections: 4.84 eV/f.u.

Geometry as POSCAR:
```
Hf2SbPI
1.0
5.4116 0.0000 0.0000
0.0000 4.9670 0.0000
0.0000 0.0000 5.4116
I Sb Hf P
1 1 2 1
Cartesian
2.7058 2.4835 2.7058
0.0000 0.0000 0.0000
0.0000 0.0000 2.7058
2.7058 0.0000 0.0000
0.0000 2.4835 0.0000
```

(4)
Below is a relaxed structure of Sr2HfPI, with properties calculated at the PBE level.

Results
- Theoretical density: 4.334 Mg/m³
- Total magnetization: 3.3 μB/cell
- Formation energy without anion corrections: 2.13 eV/f.u.

Geometry as POSCAR:
```
Sr2HfPI
1.0
5.8201 0.0000 0.0000
0.0000 5.7871 0.0000
0.0000 0.0000 5.8201
I Sr Hf P
1 2 1 1
Cartesian
0.0000 2.8936 0.0000
0.0000 0.0000 2.9101
2.9101 0.0000 0.0000
2.9101 2.8936 2.9101
0.0000 0.0000 0.0000
```

(5)
Below is a relaxed structure of HfTi2PI, with properties calculated at the PBE level.

Results
- Theoretical density: 6.340 Mg/m³
- Total magnetization: 0.0 μB/cell
- Formation energy without anion corrections: 2.47 eV/f.u.

Geometry as POSCAR:
```
HfTi2PI
1.0
-0.6648 3.7861 2.4610
-4.2901 -2.3125 2.3988
2.7196 -1.6501 3.2732
I P Hf Ti
1 1 1 2
Cartesian
-2.1451 -1.1563 1.1994
0.0000 0.0000 0.0000
-1.1176 -0.0883 4.0665
1.3598 -0.8251 1.6366
-0.3324 1.8930 1.2305
```

(6)
Below is a relaxed structure of Hf2ZrPI, with properties calculated at the PBE level.

Results
- Theoretical density: 7.353 Mg/m³
- Total magnetization: 0.0 μB/cell
- Formation energy without anion corrections: 6.72 eV/f.u.

Geometry as POSCAR:
```
Hf2ZrPI
1.0
-2.0822 -3.1417 -3.5862
-0.1659 -3.8631 3.4807
-4.6314 1.4652 1.4054
I P Hf Zr
1 1 2 1
Cartesian
0.0000 0.0000 0.0000
-2.3157 0.7326 0.7027
-0.0830 -1.9316 1.7403
-1.0411 -1.5709 -1.7931
-3.4397 -2.7698 0.6500
```

Look up the theoretical density of the third one. 7.268 Mg/m³

What is the formation energy without anion corrections in the first record? 0.56 eV/f.u.

Which formula does entry 6 have? Hf2ZrPI